[1]
Entry from Alexandria via LeMat-Bulk: a relaxed Rb2GaTe3 crystal (PBE).

Results
Its crystal system is monoclinic. The value obtained for the magnetization is 0.0 μB per formula unit. The value obtained for the density of states at the Fermi level is 1.33 states/eV/f.u. The uncorrected formation energy comes out at -4.12 eV per formula unit.

a b c (Å): 14.2212 10.4964 6.7206
angles (deg): 90.00 94.28 90.00
With the nearest neighbours (Å) after each atom.
Space group C2/c (No. 15)
One atom of each set of equivalent atoms:
Rb1 0.1469 0.1631 0.2373  6 Te 3.72-4.13
Ga1 0.0000 0.3869 0.7500  3 Te 2.56-2.63
Te1 0.0000 0.1430 0.7500  1 Ga 2.56
Te2 0.1404 0.4910 0.4437  1 Ga 2.63

[2]
Entry from Alexandria via LeMat-Bulk: a relaxed Rb2GaTe2 crystal (PBE).

Results
Its crystal system is tetragonal. The value obtained for the magnetization is 0.0 μB per formula unit. For the relative energy among the computed polymorphs, the calculation gives 248 meV/atom. The value obtained for the density of states at the Fermi level is 5.56 states/eV/f.u. The uncorrected formation energy comes out at -2.47 eV per formula unit.

a b c (Å): 8.5468 8.5468 5.4450
angles (deg): 90.00 90.00 90.00
With the nearest neighbours (Å) after each atom.
Space group P4/mbm (No. 127)
One atom of each set of equivalent atoms:
Rb1 0.1406 0.3594 0.0000  1 Rb 3.40, 2 Te 3.50
Ga1 0.0000 0.0000 0.5000  4 Te 3.15
Te1 0.1768 0.6768 0.5000  2 Ga 3.15, 2 Rb 3.50

[3]
Entry from Alexandria via LeMat-Bulk: a relaxed RbGa2Te crystal (PBE).

Results
Its crystal system is tetragonal. The value obtained for the magnetization is 0.0 μB per formula unit. The value obtained for the density of states at the Fermi level is 2.15 states/eV/f.u. The uncorrected formation energy comes out at -0.66 eV per formula unit.

a b c (Å): 8.8717 8.8717 6.9117
angles (deg): 90.00 90.00 90.00
With the nearest neighbours (Å) after each atom.
Space group I-42d (No. 122)
One atom of each set of equivalent atoms:
Rb1 0.0000 0.0000 0.0000  2 Te 3.46, 8 Ga 3.56-3.85
Ga1 0.2023 0.2500 0.6250  2 Te 2.98
Te1 0.0000 0.0000 0.5000  4 Ga 2.98

[4]
Entry from Alexandria via LeMat-Bulk: a relaxed Rb2GaTe crystal (PBE).

Results
Its crystal system is tetragonal. The value obtained for the magnetization is 1.0 μB per formula unit. For the relative energy among the computed polymorphs, the calculation gives 148 meV/atom. The value obtained for the density of states at the Fermi level is 0.24 states/eV/f.u. The uncorrected formation energy comes out at -0.56 eV per formula unit.

a b c (Å): 5.5431 5.5431 23.9201
angles (deg): 90.00 90.00 90.00
With the nearest neighbours (Å) after each atom.
Space group I-42d (No. 122)
One atom of each set of equivalent atoms:
Rb1 0.2401 0.2500 0.1250  2 Te 3.55, 2 Ga 3.60, 2 Rb 3.84
Ga1 0.0000 0.0000 0.5000  4 Rb 3.60, 4 Te 3.92
Te1 0.0000 0.0000 0.0000  4 Rb 3.55, 4 Ga 3.92

[5]
Entry from Alexandria via LeMat-Bulk: a relaxed RbGaTe4 crystal (PBE).

Results
Its crystal system is monoclinic. The value obtained for the magnetization is 0.0 μB per formula unit. The uncorrected formation energy comes out at -2.36 eV per formula unit.

a b c (Å): 11.4567 15.3762 7.3230
angles (deg): 90.00 126.92 90.00
With the nearest neighbours (Å) after each atom.
Space group C2/c (No. 15)
One atom of each set of equivalent atoms:
Rb1 0.0000 0.1194 0.2500  6 Te 3.81-3.92, 2 Ga 4.12
Ga1 0.0000 0.2420 0.7500  4 Te 2.66-2.68
Te1 0.0692 0.3445 0.0952  1 Ga 2.66, 1 Te 2.81
Te2 0.1875 0.1093 0.8895  1 Ga 2.68, 1 Te 2.81

[6]
Entry from Alexandria via LeMat-Bulk: a relaxed RbGa2Te2 crystal (PBE).

Results
Its crystal system is tetragonal. The value obtained for the magnetization is 0.0 μB per formula unit. For the relative energy among the computed polymorphs, the calculation gives 9 meV/atom. The value obtained for the density of states at the Fermi level is 1.50 states/eV/f.u. The uncorrected formation energy comes out at -1.99 eV per formula unit.

a b c (Å): 5.3292 5.3292 13.0407
angles (deg): 90.00 90.00 90.00
With the nearest neighbours (Å) after each atom.
Space group I4/mmm (No. 139)
One atom of each set of equivalent atoms:
Rb1 0.0000 0.0000 0.0000  8 Ga 4.21, 10 Te 4.31-4.43
Ga1 0.0000 0.5000 0.2500  4 Te 2.91
Te1 0.0000 0.0000 0.3398  4 Ga 2.91

[7]
Entry from Alexandria via LeMat-Bulk: a relaxed Rb3GaTe3 crystal (PBE).

Results
Its crystal system is monoclinic. The value obtained for the magnetization is 0.0 μB per formula unit. The value obtained for the density of states at the Fermi level is 0.00 states/eV/f.u. The uncorrected formation energy comes out at -6.18 eV per formula unit.

a b c (Å): 9.9010 14.9033 8.7327
angles (deg): 90.00 101.77 90.00
With the nearest neighbours (Å) after each atom.
Space group C2/m (No. 12)
One atom of each set of equivalent atoms:
Rb1 0.0000 0.1758 0.0000  6 Te 3.67-3.88
Rb2 0.0000 0.2384 0.5000  6 Te 3.66-4.06, 2 Ga 4.03
Rb3 0.1072 0.5000 0.8523  5 Te 3.56-3.85, 1 Rb 3.66
Ga1 0.1686 0.0000 0.6507  4 Te 2.62-2.74
Te1 0.1030 0.0000 0.3307  2 Ga 2.73-2.74
Te2 0.2052 0.3549 0.2233  1 Ga 2.62

[8]
Entry from Alexandria via LeMat-Bulk: a relaxed RbGaTe crystal (PBE).

Results
Its crystal system is orthorhombic. The value obtained for the magnetization is 0.0 μB per formula unit. For the relative energy among the computed polymorphs, the calculation gives 0 meV/atom. The value obtained for the density of states at the Fermi level is 0.46 states/eV/f.u. The uncorrected formation energy comes out at -1.84 eV per formula unit.

a b c (Å): 4.4724 18.8679 5.2479
angles (deg): 90.00 90.00 90.00
With the nearest neighbours (Å) after each atom.
Space group Cmcm (No. 63)
One atom of each set of equivalent atoms:
Rb1 0.0000 0.1742 0.2500  5 Te 3.60-3.90, 3 Ga 3.75-3.85
Ga1 0.0000 0.0246 0.7500  2 Ga 2.78, 2 Te 2.86
Te1 0.0000 0.3810 0.2500  2 Ga 2.86

[9]
Entry from Alexandria via LeMat-Bulk: a relaxed RbGa2Te crystal (PBE).

Results
Its crystal system is trigonal. The value obtained for the magnetization is 0.0 μB per formula unit. The value obtained for the density of states at the Fermi level is 1.47 states/eV/f.u. The uncorrected formation energy comes out at 0.04 eV per formula unit.

a b c (Å): 4.4897 4.4897 31.1040
angles (deg): 90.00 90.00 120.00
With the nearest neighbours (Å) after each atom.
Space group R-3m (No. 166, hexagonal axes)
One atom of each set of equivalent atoms:
Rb1 0.0000 0.0000 0.0000  2 Ga 3.68
Ga1 0.0000 0.0000 0.1183  3 Te 3.00
Te1 0.0000 0.0000 0.5000  6 Ga 3.00

[10]
Entry from Alexandria via LeMat-Bulk: a relaxed Rb2ThGaTe5 crystal (PBE).

Results
Its crystal system is orthorhombic. The value obtained for the magnetization is 0.0 μB per formula unit. The value obtained for the density of states at the Fermi level is 3.98 states/eV/f.u. The uncorrected formation energy comes out at -7.54 eV per formula unit.

a b c (Å): 4.2787 22.4389 16.1587
angles (deg): 90.00 90.00 90.00
With the nearest neighbours (Å) after each atom.
Space group Cmc2_1 (No. 36)
One atom of each set of equivalent atoms:
Rb1 0.0000 0.1228 0.0000  6 Te 3.72-3.78
Rb2 0.0000 0.1372 0.3649  7 Te 3.72-3.89
Th1 0.0000 0.2001 0.6981  6 Te 3.07-3.30
Ga1 0.0000 0.4293 0.0901  4 Te 2.60-2.73
Te1 0.0000 0.0530 0.6897  2 Ga 2.71
Te2 0.0000 0.3092 0.3335  2 Th 3.07
Te3 0.0000 0.3107 0.0525  1 Ga 2.73
Te4 0.0000 0.3365 0.6800  1 Th 3.07
Te5 0.0000 0.4882 0.9517  1 Ga 2.60

[11]
Entry from Alexandria via LeMat-Bulk: a relaxed Rb2TiGaTe5 crystal (PBE).

Results
Its crystal system is orthorhombic. The value obtained for the magnetization is 0.0 μB per formula unit. The value obtained for the density of states at the Fermi level is 3.84 states/eV/f.u. The uncorrected formation energy comes out at -5.94 eV per formula unit.

a b c (Å): 3.9661 22.3164 15.8310
angles (deg): 90.00 90.00 90.00
With the nearest neighbours (Å) after each atom.
Space group Cmc2_1 (No. 36)
One atom of each set of equivalent atoms:
Rb1 0.0000 0.1256 0.0000  6 Te 3.69-3.74, 2 Rb 3.97
Rb2 0.0000 0.1423 0.3712  7 Te 3.69-3.95, 2 Rb 3.97
Ti1 0.0000 0.2032 0.7072  5 Te 2.66-2.91
Ga1 0.0000 0.4229 0.0940  4 Te 2.60-2.67
Te1 0.0000 0.0687 0.7047  2 Ga 2.65
Te2 0.0000 0.3040 0.0733  1 Ga 2.67, 2 Ti 2.91
Te3 0.0000 0.3051 0.3255  2 Ti 2.73
Te4 0.0000 0.3209 0.6818  1 Ti 2.66
Te5 0.0000 0.4868 0.9563  1 Ga 2.60

[12]
Entry from Alexandria via LeMat-Bulk: a relaxed RbTlGaTe2 crystal (PBE).

Results
Its crystal system is tetragonal. The value obtained for the magnetization is 0.0 μB per formula unit. The value obtained for the density of states at the Fermi level is 5.88 states/eV/f.u. The uncorrected formation energy comes out at 2.60 eV per formula unit.

a b c (Å): 6.4840 6.4840 6.1257
angles (deg): 90.00 90.00 90.00
With the nearest neighbours (Å) after each atom.
Space group P4/mmm (No. 123)
One atom of each set of equivalent atoms:
Rb1 0.0000 0.0000 0.0000  2 Tl 3.06, 4 Te 3.24
Tl1 0.0000 0.0000 0.5000  2 Rb 3.06
Ga1 0.5000 0.5000 0.5000  8 Te 4.46, 4 Tl 4.58
Te1 0.0000 0.5000 0.0000  2 Rb 3.24

[13]
Entry from Alexandria via LeMat-Bulk: a relaxed RbTlGaTe3 crystal (PBE).

Results
Its crystal system is monoclinic. The value obtained for the magnetization is 0.0 μB per formula unit. The value obtained for the density of states at the Fermi level is 3.33 states/eV/f.u. The uncorrected formation energy comes out at -2.57 eV per formula unit.

a b c (Å): 10.0932 4.4699 10.8558
angles (deg): 90.00 107.77 90.00
With the nearest neighbours (Å) after each atom.
Space group P2_1/m (No. 11)
One atom of each set of equivalent atoms:
Rb1 0.2310 0.2500 0.2442  7 Te 3.69-4.07
Tl1 0.3412 0.7500 0.9093  5 Te 3.09-3.33
Ga1 0.0801 0.2500 0.6272  4 Te 2.59-2.76
Te1 0.0869 0.2500 0.8673  1 Ga 2.59
Te2 0.1863 0.7500 0.5418  3 Ga 2.75-2.76
Te3 0.4957 0.2500 0.7991  3 Tl 3.09-3.16

[14]
Entry from Alexandria via LeMat-Bulk: a relaxed Rb2TmGaTe4 crystal (PBE).

Results
Its crystal system is tetragonal. The value obtained for the magnetization is 0.0 μB per formula unit. The value obtained for the density of states at the Fermi level is 0.00 states/eV/f.u. The uncorrected formation energy comes out at -7.53 eV per formula unit.

a b c (Å): 9.0462 9.0462 7.3759
angles (deg): 90.00 90.00 90.00
With the nearest neighbours (Å) after each atom.
Space group I-42m (No. 121)
One atom of each set of equivalent atoms:
Rb1 0.0000 0.5000 0.0000  2 Rb 3.69, 8 Te 3.76-3.94
Tm1 0.0000 0.0000 0.0000  4 Te 2.94
Ga1 0.0000 0.0000 0.5000  4 Te 2.70
Te1 0.1666 0.1666 0.2751  1 Ga 2.70, 1 Tm 2.94

[15]
Entry from Alexandria via LeMat-Bulk: a relaxed Rb3Tm3GaTe8 crystal (PBE).

Results
Its crystal system is monoclinic. The value obtained for the magnetization is 0.0 μB per formula unit. The value obtained for the density of states at the Fermi level is 6.59 states/eV/f.u. The uncorrected formation energy comes out at -15.67 eV per formula unit.

a b c (Å): 15.0118 8.6636 10.1908
angles (deg): 90.00 119.44 90.00
With the nearest neighbours (Å) after each atom.
Space group C2/m (No. 12)
One atom of each set of equivalent atoms:
Rb1 0.0000 0.0000 0.0000  6 Te 3.66-3.70
Rb2 0.2500 0.2500 0.0000  6 Te 3.66-3.70
Tm1 0.0000 0.5000 0.5000  6 Te 3.05-3.06
Tm2 0.2500 0.2500 0.5000  6 Te 3.05-3.06
Ga1 0.0000 0.0000 0.5000  6 Te 2.93-2.96
Te1 0.0177 0.2428 0.3102  1 Ga 2.96, 2 Tm 3.05
Te2 0.2233 0.0000 0.6886  1 Ga 2.93, 2 Tm 3.05
Te3 0.2330 0.5000 0.6988  3 Tm 3.06

[16]
Entry from Alexandria via LeMat-Bulk: a relaxed Rb3U3GaTe8 crystal (PBE).

Results
Its crystal system is monoclinic. The value obtained for the magnetization is 2.2 μB per formula unit. The value obtained for the density of states at the Fermi level is 14.55 states/eV/f.u. The uncorrected formation energy comes out at -11.05 eV per formula unit.

a b c (Å): 15.8252 9.0922 9.9995
angles (deg): 90.00 121.75 90.00
With the nearest neighbours (Å) after each atom.
Space group C2/m (No. 12)
One atom of each set of equivalent atoms:
Rb1 0.0000 0.0000 0.0000  6 Te 3.65-3.76
Rb2 0.2500 0.2500 0.0000  6 Te 3.65-3.76
U1 0.0000 0.5000 0.5000  6 Te 3.04-3.16
U2 0.2500 0.2500 0.5000  6 Te 3.05-3.13
Ga1 0.0000 0.0000 0.5000  6 Te 3.15-3.18
Te1 0.0221 0.2585 0.3103  2 U 3.04-3.07, 1 Ga 3.15
Te2 0.2346 0.5000 0.7019  3 U 3.13-3.16
Te3 0.2365 0.0000 0.6916  2 U 3.05, 1 Ga 3.18

[17]
Entry from Alexandria via LeMat-Bulk: a relaxed Rb2ZrGaTe4 crystal (PBE).

Results
Its crystal system is orthorhombic. The value obtained for the magnetization is 0.0 μB per formula unit. The value obtained for the density of states at the Fermi level is 3.77 states/eV/f.u. The uncorrected formation energy comes out at -6.06 eV per formula unit.

a b c (Å): 7.1764 14.9296 26.3171
angles (deg): 90.00 90.00 90.00
With the nearest neighbours (Å) after each atom.
Space group Fddd (No. 70, origin choice 2)
One atom of each set of equivalent atoms:
Rb1 0.1250 0.1250 0.3066  8 Te 3.95-4.24
Zr1 0.1250 0.1250 0.1250  4 Te 2.76
Ga1 0.1250 0.1250 0.6250  4 Te 2.78
Te1 0.1233 0.2733 0.4307  1 Zr 2.76, 1 Ga 2.78

[18]
Entry from Alexandria via LeMat-Bulk: a relaxed Rb2ZrGaTe crystal (PBE).

Results
Its crystal system is tetragonal. The value obtained for the magnetization is 2.1 μB per formula unit. The value obtained for the density of states at the Fermi level is 7.93 states/eV/f.u. The uncorrected formation energy comes out at 2.54 eV per formula unit.

a b c (Å): 7.1071 7.1071 5.4850
angles (deg): 90.00 90.00 90.00
With the nearest neighbours (Å) after each atom.
Space group P4/mmm (No. 123)
One atom of each set of equivalent atoms:
Rb1 0.0000 0.5000 0.0000  2 Zr 3.55
Zr1 0.0000 0.0000 0.0000  2 Te 2.74
Ga1 0.5000 0.5000 0.5000  8 Rb 4.49, 4 Te 5.03
Te1 0.0000 0.0000 0.5000  2 Zr 2.74

[19]
Entry from Alexandria via LeMat-Bulk: a relaxed Rb2ZrGaTe5 crystal (PBE).

Results
Its crystal system is orthorhombic. The value obtained for the magnetization is 0.0 μB per formula unit. The value obtained for the density of states at the Fermi level is 3.75 states/eV/f.u. The uncorrected formation energy comes out at -6.65 eV per formula unit.

a b c (Å): 4.0431 22.3997 16.0166
angles (deg): 90.00 90.00 90.00
With the nearest neighbours (Å) after each atom.
Space group Cmc2_1 (No. 36)
One atom of each set of equivalent atoms:
Rb1 0.0000 0.1233 0.0000  6 Te 3.69-3.75, 2 Rb 4.04
Rb2 0.0000 0.1407 0.3683  7 Te 3.69-3.95, 2 Rb 4.04
Zr1 0.0000 0.2048 0.7045  5 Te 2.80-3.01
Ga1 0.0000 0.4245 0.0930  4 Te 2.60-2.70
Te1 0.0000 0.0647 0.6998  2 Ga 2.66
Te2 0.0000 0.3056 0.0662  1 Ga 2.70, 2 Zr 3.01
Te3 0.0000 0.3057 0.3303  2 Zr 2.86
Te4 0.0000 0.3286 0.6805  1 Zr 2.80
Te5 0.0000 0.4861 0.9551  1 Ga 2.60

[20]
Entry from Alexandria via LeMat-Bulk: a relaxed RbTiGa2 crystal (PBE).

Results
Its crystal system is cubic. The value obtained for the magnetization is 1.1 μB per formula unit. For the relative energy among the computed polymorphs, the calculation gives 125 meV/atom. The value obtained for the density of states at the Fermi level is 3.76 states/eV/f.u. For the energy of formation, the calculation gives 589.2 meV per atom.

a b c (Å): 7.2955 7.2955 7.2955
angles (deg): 90.00 90.00 90.00
With the nearest neighbours (Å) after each atom.
Space group Fm-3m (No. 225)
One atom of each set of equivalent atoms:
Rb1 0.0000 0.0000 0.0000  8 Ga 3.16
Ti1 0.0000 0.0000 0.5000  8 Ga 3.16
Ga1 0.2500 0.2500 0.2500  4 Rb 3.16, 4 Ti 3.16